Material: Nd2Sm7Ho2
Method: DFT, GGA-PBE
State: optimized geometry

Output
The magnetization comes out at 0.0 Bohr magnetons per cell. The calculation puts the uncorrected energy at -204.84 eV for the cell shown. Its energy of formation from the pure elements is 4.5 kJ/mol of atoms. The calculation puts the excess energy over the best structure of this formula in the dataset at 0 meV/atom.

Unit cell a=6.450 b=12.127 c=19.250 alpha=90.00 beta=99.35 gamma=90.00
Space group C2/c (No. 15)
Symmetry-distinct sites (fractional):
Nd: 0.109 0.135 0.023 [8 per cell]
Sm: 0.000 0.485 0.250 [4 per cell]
Sm: 0.014 0.040 0.840 [8 per cell]
Sm: 0.060 0.405 0.432 [8 per cell]
Sm: 0.142 0.320 0.616 [8 per cell]
Ho: 0.210 0.229 0.205 [8 per cell]


Material: CuPd12Au7
Method: DFT, GGA-PBE
State: optimized geometry

Output
The magnetization comes out at 0.0 Bohr magnetons per cell. The calculation puts the uncorrected energy at -264.17 eV for the cell shown. Its energy of formation from the pure elements is 6.3 kJ/mol of atoms.

Unit cell a=9.8639 b=9.8639 c=12.0900 alpha=90.00 beta=90.00 gamma=120.00
Space group R-3 (No. 148, hexagonal axes)
Symmetry-distinct sites (fractional):
Cu: 0.0000 0.0000 0.0000 [3 per cell]
Pd: 0.0372 0.4586 0.7059 [18 per cell]
Pd: 0.0567 0.5953 0.0868 [18 per cell]
Au: 0.0000 0.0000 0.5000 [3 per cell]
Au: 0.0429 0.1856 0.8031 [18 per cell]


Material: LiDyErFe
Method: DFT, GGA-PBE
State: optimized geometry

Output
The magnetization comes out at 0.0 Bohr magnetons per cell. The calculation puts the uncorrected energy at -77.02 eV for the cell shown. Its energy of formation from the pure elements is 6.9 kJ/mol of atoms.

Unit cell a=6.816 b=6.816 c=6.816 alpha=90.00 beta=90.00 gamma=90.00
Space group F-43m (No. 216)
Symmetry-distinct sites (fractional):
Li: 0.000 0.000 0.000 [4 per cell]
Dy: 0.250 0.250 0.750 [4 per cell]
Er: 0.250 0.250 0.250 [4 per cell]
Fe: 0.000 0.000 0.500 [4 per cell]


Material: Ag2Hg
Method: DFT, GGA-PBE
State: optimized geometry

Output
The magnetization comes out at 0.0 Bohr magnetons per cell. The calculation puts the uncorrected energy at -23.37 eV for the cell shown. Its energy of formation from the pure elements is 5.2 kJ/mol of atoms. The calculation puts the excess energy over the best structure of this formula in the dataset at 4 meV/atom.

Unit cell a=5.980 b=4.310 c=9.000 alpha=90.00 beta=90.00 gamma=90.00
Space group Pnma (No. 62)
Symmetry-distinct sites (fractional):
Ag: 0.117 0.250 0.249 [4 per cell]
Ag: 0.127 0.250 0.581 [4 per cell]
Hg: 0.136 0.250 0.911 [4 per cell]


Material: FeCu2Pt3
Method: DFT, GGA-PBE
State: optimized geometry

Output
The magnetization comes out at 16.8 Bohr magnetons per cell. The calculation puts the uncorrected energy at -143.89 eV for the cell shown. Its energy of formation from the pure elements is -19.2 kJ/mol of atoms. The calculation puts the excess energy over the best structure of this formula in the dataset at 0 meV/atom.

Unit cell a=3.953 b=11.869 c=7.169 alpha=90.00 beta=90.00 gamma=90.00
Space group Cmmm (No. 65)
Symmetry-distinct sites (fractional):
Fe: 0.000 0.161 0.000 [4 per cell]
Cu: 0.000 0.170 0.500 [4 per cell]
Cu: 0.000 0.500 0.000 [2 per cell]
Cu: 0.000 0.500 0.500 [2 per cell]
Pt: 0.000 0.000 0.253 [4 per cell]
Pt: 0.000 0.333 0.244 [8 per cell]


Material: ZrCoRu
Method: DFT, GGA-PBE
State: optimized geometry

Output
The magnetization comes out at 0.5 Bohr magnetons per cell. The calculation puts the uncorrected energy at -25.31 eV for the cell shown. Its energy of formation from the pure elements is -12.3 kJ/mol of atoms. The calculation puts the excess energy over the best structure of this formula in the dataset at 0 meV/atom.

Unit cell a=4.1239 b=4.1239 c=3.2734 alpha=90.00 beta=90.00 gamma=120.00
Space group P-6m2 (No. 187)
Symmetry-distinct sites (fractional):
Zr: 0.0000 0.0000 0.0000 [1 per cell]
Co: 0.6667 0.3333 0.5000 [1 per cell]
Ru: 0.3333 0.6667 0.5000 [1 per cell]


Material: Ca2Ac6Y
Method: DFT, GGA-PBE
State: optimized geometry

Output
The magnetization comes out at 0.0 Bohr magnetons per cell. The calculation puts the uncorrected energy at -64.95 eV for the cell shown. Its energy of formation from the pure elements is 28.3 kJ/mol of atoms. The calculation puts the excess energy over the best structure of this formula in the dataset at 212 meV/atom.

Unit cell a=8.372 b=16.674 c=5.863 alpha=90.00 beta=90.00 gamma=90.00
Space group Cmmm (No. 65)
Symmetry-distinct sites (fractional):
Ca: 0.000 0.221 0.000 [4 per cell]
Ac: 0.215 0.357 0.500 [8 per cell]
Ac: 0.244 0.500 0.000 [4 per cell]
Y: 0.000 0.000 0.500 [2 per cell]


Material: ZnNiW2C
Method: DFT, GGA-PBE
State: optimized geometry

Output
The magnetization comes out at 1.1 Bohr magnetons per cell. The calculation puts the uncorrected energy at -30.00 eV for the cell shown. Its energy of formation from the pure elements is 235.2 kJ/mol of atoms. The calculation puts the excess energy over the best structure of this formula in the dataset at 118 meV/atom.

Unit cell a=4.472 b=4.472 c=4.258 alpha=90.00 beta=90.00 gamma=90.00
Space group P4/mmm (No. 123)
Symmetry-distinct sites (fractional):
Zn: 0.000 0.000 0.000 [1 per cell]
Ni: 0.000 0.000 0.500 [1 per cell]
W: 0.000 0.500 0.500 [2 per cell]
C: 0.500 0.500 0.000 [1 per cell]


Material: Y7TmO12
Method: DFT, GGA-PBE
State: optimized geometry

Output
The magnetization comes out at 0.0 Bohr magnetons per cell. The calculation puts the uncorrected energy at -722.20 eV for the cell shown. The value obtained for the energy relative to the elements, uncorrected is -3.57 eV/atom.

Unit cell a=10.671 b=10.673 c=10.677 alpha=90.00 beta=90.00 gamma=90.00
Space group I2_12_12_1 (No. 24)
Symmetry-distinct sites (fractional):
Y: 0.000 0.250 0.032 [4 per cell]
Y: 0.000 0.250 0.534 [4 per cell]
Y: 0.033 0.000 0.250 [4 per cell]
Y: 0.249 0.250 0.751 [8 per cell]
Y: 0.250 0.033 0.500 [4 per cell]
Y: 0.250 0.468 0.000 [4 per cell]
Tm: 0.033 0.500 0.750 [4 per cell]
O: 0.107 0.351 0.878 [8 per cell]
O: 0.110 0.152 0.380 [8 per cell]
O: 0.118 0.107 0.653 [8 per cell]
O: 0.121 0.391 0.151 [8 per cell]
O: 0.151 0.380 0.611 [8 per cell]
O: 0.152 0.120 0.109 [8 per cell]


Material: Tb6CdCo
Method: DFT, GGA-PBE
State: optimized geometry

Output
The magnetization comes out at 0.0 Bohr magnetons per cell. The calculation puts the uncorrected energy at -71.22 eV for the cell shown. Its energy of formation from the pure elements is 2.3 kJ/mol of atoms.

Unit cell a=7.870 b=10.179 c=6.204 alpha=90.00 beta=105.23 gamma=90.00
Space group C2/m (No. 12)
Symmetry-distinct sites (fractional):
Tb: 0.118 0.186 0.282 [8 per cell]
Tb: 0.225 0.500 0.140 [4 per cell]
Cd: 0.000 0.500 0.500 [2 per cell]
Co: 0.000 0.000 0.000 [2 per cell]


Material: BaScZn2
Method: DFT, GGA-PBE
State: optimized geometry

Output
The magnetization comes out at 0.0 Bohr magnetons per cell. The calculation puts the uncorrected energy at -39.34 eV for the cell shown. Its energy of formation from the pure elements is 23.3 kJ/mol of atoms. The calculation puts the excess energy over the best structure of this formula in the dataset at 428 meV/atom.

Unit cell a=7.304 b=7.304 c=7.304 alpha=90.00 beta=90.00 gamma=90.00
Space group F-43m (No. 216)
Symmetry-distinct sites (fractional):
Ba: 0.000 0.000 0.000 [4 per cell]
Sc: 0.250 0.250 0.250 [4 per cell]
Zn: 0.000 0.000 0.500 [4 per cell]
Zn: 0.250 0.250 0.750 [4 per cell]


Material: Zr2CuMo
Method: DFT, GGA-PBE
State: optimized geometry

Output
The magnetization comes out at 0.0 Bohr magnetons per cell. The calculation puts the uncorrected energy at -31.60 eV for the cell shown. Its energy of formation from the pure elements is 10.3 kJ/mol of atoms. The calculation puts the excess energy over the best structure of this formula in the dataset at 220 meV/atom.

Unit cell a=2.887 b=2.887 c=8.711 alpha=90.00 beta=90.00 gamma=90.00
Space group P4/mmm (No. 123)
Symmetry-distinct sites (fractional):
Zr: 0.000 0.000 0.231 [2 per cell]
Cu: 0.500 0.500 0.000 [1 per cell]
Mo: 0.500 0.500 0.500 [1 per cell]